# 1
HgPdW2 PBE relaxed; total magnetization = 0.00 μB/f.u.; E_form = 0.606 eV per atom; space-group type = No. 216
1.0
0.0000 3.2401 3.2401
3.2401 0.0000 3.2401
3.2401 3.2401 0.0000
Hg Pd W
1 1 2
Direct
0.5000 0.5000 0.5000 Hg
0.7500 0.7500 0.7500 Pd
0.0000 0.0000 0.0000 W
0.2500 0.2500 0.2500 W

# 2
NaLaHgSe3 PBE relaxed; calculated total energy = -3.99 eV/atom; total magnetization = 0.00 μB/f.u.; space-group type = No. 62
1.0
-3.5602 -13.4951 -0.9361
0.9672 0.0380 -4.2258
11.1140 -3.1066 2.5158
Hg La Na Se
4 4 4 12
Direct
0.9931 0.2500 0.1024 Hg
0.4931 0.2500 0.3976 Hg
0.5069 0.7500 0.6024 Hg
0.0069 0.7500 0.8976 Hg
0.4766 0.7500 0.1589 La
0.9766 0.7500 0.3411 La
0.0234 0.2500 0.6589 La
0.5234 0.2500 0.8411 La
0.7565 0.7500 0.0914 Na
0.2565 0.7500 0.4086 Na
0.7435 0.2500 0.5914 Na
0.2435 0.2500 0.9086 Na
0.6057 0.2500 0.0723 Se
0.1087 0.7500 0.1168 Se
0.8478 0.2500 0.2469 Se
0.3478 0.2500 0.2531 Se
0.6087 0.7500 0.3832 Se
0.1057 0.2500 0.4277 Se
0.8943 0.7500 0.5723 Se
0.3913 0.2500 0.6168 Se
0.6522 0.7500 0.7469 Se
0.1522 0.7500 0.7531 Se
0.8913 0.2500 0.8832 Se
0.3943 0.7500 0.9277 Se

# 3
Ba2AgAs2Au PBE relaxed; calculated total energy = -4.07 eV/atom; space-group type = No. 187
1.0
-4.5042 -0.9307 0.3877
3.0784 -2.4457 2.4179
-0.6472 6.0053 6.8982
Ag As Au Ba
1 2 1 2
Direct
0.0000 0.0000 0.0000 Ag
0.6667 0.3333 0.0000 As
0.0000 0.0000 0.5000 As
0.6667 0.3333 0.5000 Au
0.3333 0.6667 0.2501 Ba
0.3333 0.6667 0.7499 Ba

# 4
Li2Sc2AlGePd2 PBE relaxed; calculated total energy = -5.11 eV/atom; total magnetization = 0.00 μB/f.u.; space-group type = No. 115
1.0
-3.0691 2.0205 2.5107
2.3977 -0.8851 3.6432
3.0979 5.5604 -0.6879
Al Ge Li Pd Sc
1 1 2 2 2
Direct
0.0000 0.0000 0.0000 Al
0.5000 0.5000 0.5000 Ge
0.5000 0.0000 0.2542 Li
0.0000 0.5000 0.7458 Li
0.0000 0.5000 0.2450 Pd
0.5000 0.0000 0.7550 Pd
0.5000 0.5000 0.0000 Sc
0.0000 0.0000 0.5000 Sc